Entry 1:
# GGA-PBE YBe2Pd2, optimized geometry
data_YBe2Pd2
_chemical_formula_sum 'Y2 Be4 Pd4'
_cell_length_a 7.113
_cell_length_b 7.113
_cell_length_c 2.899
_cell_angle_alpha 90.00
_cell_angle_beta 90.00
_cell_angle_gamma 90.00
_symmetry_space_group_name_H-M 'P 4/m b m'
_symmetry_Int_Tables_number 127
_symmetry_space_group_name_Hall '-P 4 2ab'
loop_
_atom_site_label
_atom_site_fract_x
_atom_site_fract_y
_atom_site_fract_z
_atom_site_occupancy
Y1 0.000 0.000 0.000 1
Be1 0.110 0.390 0.000 1
Pd1 0.173 0.673 0.500 1
# V   147 Å³/cell
# Total DFT energy (no corrections)   -0.38863 Ry per atom
# N(E_F)   5.531 states/eV per cell
# ΔE_f   -206 kJ/mol of formula units
# Energy relative to the lowest polymorph listed for this composition   161.8 meV/atom

---

Entry 2:
# GGA-PBE YBePd2, optimized geometry
data_YBePd2
_chemical_formula_sum 'Y3 Be3 Pd6'
_cell_length_a 4.1171
_cell_length_b 4.1171
_cell_length_c 14.5163
_cell_angle_alpha 90.00
_cell_angle_beta 90.00
_cell_angle_gamma 120.00
_symmetry_space_group_name_H-M 'R -3 m'
_symmetry_Int_Tables_number 166
_symmetry_space_group_name_Hall '-R 3 2"'
loop_
_atom_site_label
_atom_site_fract_x
_atom_site_fract_y
_atom_site_fract_z
_atom_site_occupancy
Y1 0.0000 0.0000 0.0000 1
Be1 0.0000 0.0000 0.5000 1
Pd1 0.0000 0.0000 0.2115 1
# V   213 Å³/cell
# Total DFT energy (no corrections)   -0.42514 Ry per atom
# N(E_F)   5.257 states/eV per cell
# ΔE_f   -247 kJ/mol of formula units